[1]
# MnSiAu2 (meta-GGA SCAN, single point on PBEsol structure)
# E_form (uncorrected): -0.5 eV per formula unit
# Calculated volume: 15.34 A^3/atom
data_MnSiAu2
_chemical_formula_sum 'Mn1 Si1 Au2'
_cell_length_a 3.953
_cell_length_b 3.953
_cell_length_c 3.926
_cell_angle_alpha 90.00
_cell_angle_beta 90.00
_cell_angle_gamma 90.00
_symmetry_space_group_name_H-M 'P 4/m m m'
_symmetry_Int_Tables_number 123
_symmetry_space_group_name_Hall '-P 4 2'
loop_
_atom_site_label
_atom_site_type_symbol
_atom_site_fract_x
_atom_site_fract_y
_atom_site_fract_z
Mn1 Mn 0.000 0.000 0.000
Si1 Si 0.500 0.500 0.000
Au1 Au 0.000 0.500 0.500

=====

[2]
# Mn2SnTeAu (meta-GGA SCAN, single point on PBEsol structure)
# E_form (uncorrected): 3.9 eV per formula unit
# Calculated volume: 28.30 A^3/atom
data_Mn2SnTeAu
_chemical_formula_sum 'Mn2 Sn1 Te1 Au1'
_cell_length_a 4.976
_cell_length_b 4.976
_cell_length_c 5.715
_cell_angle_alpha 90.00
_cell_angle_beta 90.00
_cell_angle_gamma 90.00
_symmetry_space_group_name_H-M 'P 4/m m m'
_symmetry_Int_Tables_number 123
_symmetry_space_group_name_Hall '-P 4 2'
loop_
_atom_site_label
_atom_site_type_symbol
_atom_site_fract_x
_atom_site_fract_y
_atom_site_fract_z
Mn1 Mn 0.000 0.500 0.000
Sn1 Sn 0.000 0.000 0.000
Te1 Te 0.000 0.000 0.500
Au1 Au 0.500 0.500 0.500